The following is a GGA-PBE calculation of crystalline Na2CaRu at its relaxed geometry, from Alexandria via LeMat-Bulk.

Energy of formation from the pure elements = 0.707 eV per atom
Relative energy among the computed polymorphs = 0.056 eV per atom
Fermi-level density of states = 14.62 states/eV per cell
Total magnetization = 1.271 μB per formula unit
ρ = 3.26 Mg/m³

Cell lengths 7.253, 7.253, 7.253 Å; angles 90.00, 90.00, 90.00 degrees
Space group Fm-3m (No. 225)
One atom of each set of equivalent atoms:
Na 0.250 0.250 0.250
Ca 0.000 0.000 0.000
Ru 0.000 0.000 0.500

=====

The following is a GGA-PBE calculation of crystalline Na2CaRu at its relaxed geometry, from Alexandria via LeMat-Bulk.

Energy of formation from the pure elements = 0.651 eV per atom
Relative energy among the computed polymorphs = 0.000 eV per atom
Fermi-level density of states = 14.90 states/eV per cell
Total magnetization = 0.000 μB per formula unit
ρ = 3.13 Mg/m³

Cell lengths 4.155, 4.155, 22.976 Å; angles 90.00, 90.00, 90.00 degrees
Space group I-42d (No. 122)
One atom of each set of equivalent atoms:
Na 0.224 0.250 0.125
Ca 0.000 0.000 0.500
Ru 0.000 0.000 0.000

=====

The following is a GGA-PBE calculation of crystalline Na3CaRu at its relaxed geometry, from Alexandria via LeMat-Bulk.

Energy of formation from the pure elements = 1.566 eV per atom
Relative energy among the computed polymorphs = 0.703 eV per atom
Fermi-level density of states = 5.49 states/eV per cell
Total magnetization = 1.563 μB per formula unit
ρ = 1.74 Mg/m³

Cell lengths 5.855, 5.855, 5.855 Å; angles 90.00, 90.00, 90.00 degrees
Space group Pm-3m (No. 221)
One atom of each set of equivalent atoms:
Na 0.000 0.000 0.500
Ca 0.000 0.000 0.000
Ru 0.500 0.500 0.500

=====

The following is a GGA-PBE calculation of crystalline NaCa3Ru at its relaxed geometry, from Alexandria via LeMat-Bulk.

Energy of formation from the pure elements = 1.192 eV per atom
Relative energy among the computed polymorphs = 1.055 eV per atom
Fermi-level density of states = 5.24 states/eV per cell
Total magnetization = 1.373 μB per formula unit
ρ = 2.28 Mg/m³

Cell lengths 5.623, 5.623, 5.623 Å; angles 90.00, 90.00, 90.00 degrees
Space group Pm-3m (No. 221)
One atom of each set of equivalent atoms:
Na 0.000 0.000 0.000
Ca 0.000 0.000 0.500
Ru 0.500 0.500 0.500

=====

Q: Among the records above, which one has the highest Fermi-level density of states?
A: number 2